KTl2TePt | Alexandria | GGA-PBEsol | optimized geometry; SG = No. 123; N(E_F) = 0.203 states/eV per atom; formation energy without anion corrections = -0.90 eV/f.u.; final energy = -17.787 eV per cell
1.0
5.197 0.000 0.000
0.000 5.197 0.000
0.000 0.000 5.812
K Tl Te Pt
1 2 1 1
Direct
0.000 0.000 0.000
0.000 0.500 0.500
0.500 0.000 0.500
0.500 0.500 0.000
0.000 0.000 0.500